No. 1
Density functional theory data (PBE-GGA) for a relaxed structure of ThCl2.

```
ThCl2
1.0
7.188 0.000 0.000
0.000 7.188 0.000
0.000 0.000 3.472
Cl Th
4 2
Direct
0.723 0.723 0.000
0.223 0.777 0.500
0.277 0.277 0.000
0.777 0.223 0.500
0.500 0.500 0.500
0.000 0.000 0.000
```

Calculated values
- total DFT energy (no corrections) (eV/atom) = -5.23

---

No. 2
Density functional theory data (PBE-GGA) for a relaxed structure of LiScSbIr.

```
LiScSbIr
1.0
-2.261 1.829 3.507
-4.307 -1.236 0.827
-0.979 -2.541 3.653
Li Ir Sc Sb
1 1 1 1
Direct
0.750 0.750 0.750
0.250 0.250 0.250
0.000 0.000 0.000
0.500 0.500 0.500
```

Calculated values
- energy relative to the lowest polymorph listed for this composition (eV/f.u.) = 0.00

---

- Number 2 is which compound?
  LiScSbIr

---

- Number 1 is which compound?
  ThCl2